Arrangement w

The following is a DFT calculation (PBE) of an optimized crystal structure of SmTm6Sc3.

Calculated values
For the density, the calculation gives 7.4 Mg/m³.

a b c (Å): 6.1158 10.5764 10.5764
angles (deg): 122.00 90.00 90.00
With the nearest neighbours (Å) after each atom.
Element x y z (fractional)
Sm: 0.2038 0.2100 0.7900  3 Sc 3.02-3.28, 4 Tm 3.21-3.28
Sc: 0.1252 0.3853 0.6147  5 Tm 3.12-3.38, 1 Sm 3.28, 2 Sc 3.38
Sc: 0.4328 0.9210 0.6973  1 Sm 3.02, 3 Tm 3.15-3.22
Tm: 0.8568 0.4395 0.0291  3 Sc 3.15-3.50, 2 Sm 3.21-3.28, 5 Tm 3.30-3.49
Sm: 0.7038 0.7900 0.2100  3 Sc 3.02-3.28, 4 Tm 3.21-3.28
Tm: 0.3718 0.9534 0.0466  6 Tm 3.51-3.79, 4 Sc 3.54, 1 Sm 3.64
Tm: 0.5187 0.6306 0.7067  4 Sc 3.17-3.38, 6 Tm 3.37-3.52
Tm: 0.8568 0.9709 0.5605  3 Sc 3.15-3.50, 2 Sm 3.21-3.28, 5 Tm 3.30-3.49
Sc: 0.9328 0.0790 0.3027  1 Sm 3.02, 3 Tm 3.15-3.22
Tm: 0.3568 0.0291 0.4395  3 Sc 3.15-3.50, 2 Sm 3.21-3.28, 5 Tm 3.30-3.49
Tm: 0.5187 0.2933 0.3694  4 Sc 3.17-3.38, 6 Tm 3.37-3.52
Tm: 0.1681 0.6896 0.3104  1 Sc 3.12, 6 Tm 3.30-3.42, 1 Sm 3.39
Tm: 0.0187 0.7067 0.6306  4 Sc 3.17-3.38, 6 Tm 3.37-3.52
Tm: 0.3568 0.5605 0.9709  3 Sc 3.15-3.50, 2 Sm 3.21-3.28, 5 Tm 3.30-3.49
Tm: 0.0187 0.3694 0.2933  4 Sc 3.17-3.38, 6 Tm 3.37-3.52
Sc: 0.6252 0.6147 0.3853  5 Tm 3.12-3.38, 1 Sm 3.28, 2 Sc 3.38
Sc: 0.4328 0.3027 0.0790  1 Sm 3.02, 3 Tm 3.15-3.22
Tm: 0.8718 0.0466 0.9534  6 Tm 3.51-3.79, 4 Sc 3.54, 1 Sm 3.64
Tm: 0.6681 0.3104 0.6896  1 Sc 3.12, 6 Tm 3.30-3.42, 1 Sm 3.39
Sc: 0.9328 0.6973 0.9210  1 Sm 3.02, 3 Tm 3.15-3.22


Arrangement x

The following is a DFT calculation (PBE) of an optimized crystal structure of SmTm6Sc3.

Calculated values
For the density, the calculation gives 7.4 Mg/m³.

a b c (Å): 3.4711 12.5526 14.2184
angles (deg): 109.47 83.02 89.99
With the nearest neighbours (Å) after each atom.
Element x y z (fractional)
Sc: 0.0909 0.4119 0.3176  8 Tm 3.20-3.48, 4 Sc 3.37-3.47
Tm: 0.8051 0.0415 0.8891  5 Tm 3.27-3.53, 2 Sm 3.46, 4 Sc 3.46-3.57
Tm: 0.8957 0.3236 0.7081  7 Tm 3.36-3.48, 3 Sc 3.41-3.46, 2 Sm 3.44-3.45
Tm: 0.8020 0.7841 0.8971  1 Sm 3.19, 3 Sc 3.20-3.34, 7 Tm 3.27-3.53
Tm: 0.6894 0.4545 0.1198  3 Sm 3.40-3.52, 6 Tm 3.40-3.48, 2 Sc 3.48
Tm: 0.0106 0.1245 0.4790  6 Sc 3.31-3.55, 6 Tm 3.36-3.47
Tm: 0.9894 0.8755 0.5210  6 Sc 3.31-3.55, 6 Tm 3.36-3.47
Tm: 0.1043 0.6764 0.2919  7 Tm 3.36-3.48, 3 Sc 3.41-3.46, 2 Sm 3.44-3.45
Sc: 0.4083 0.0822 0.6831  1 Sm 3.31, 8 Tm 3.31-3.57, 3 Sc 3.35-3.47
Tm: 0.5078 0.6265 0.4851  5 Sc 3.34-3.45, 7 Tm 3.34-3.47
Sm: 0.2966 0.2858 0.9053  8 Tm 3.19-3.52, 1 Sc 3.31, 2 Sm 3.47
Tm: 0.1980 0.2159 0.1029  1 Sm 3.19, 3 Sc 3.20-3.34, 7 Tm 3.27-3.53
Sc: 0.6057 0.1727 0.2888  7 Tm 3.34-3.47, 5 Sc 3.35-3.47
Sc: 0.3943 0.8273 0.7112  7 Tm 3.34-3.47, 5 Sc 3.35-3.47
Sm: 0.7034 0.7142 0.0947  8 Tm 3.19-3.52, 1 Sc 3.31, 2 Sm 3.47
Tm: 0.3106 0.5455 0.8802  3 Sm 3.40-3.52, 6 Tm 3.40-3.48, 2 Sc 3.48
Tm: 0.1949 0.9585 0.1109  5 Tm 3.27-3.53, 2 Sm 3.46, 4 Sc 3.46-3.57
Tm: 0.4922 0.3735 0.5149  5 Sc 3.34-3.45, 7 Tm 3.34-3.47
Sc: 0.9091 0.5881 0.6824  8 Tm 3.20-3.48, 4 Sc 3.37-3.47
Sc: 0.5917 0.9178 0.3169  1 Sm 3.31, 8 Tm 3.31-3.57, 3 Sc 3.35-3.47


Consider the structures shown above. The most stable of them is arrangement x.